[1]
Material: AlTeAuN2
Method: DFT, PBE-GGA
State: relaxed

Properties
Total moment = 0.000 μB per atom
Raw formation energy = 0.83 eV/atom
Space group = P4/mmm (123)

Geometry as extended XYZ:
```
5
Lattice="3.7966 0.0000 0.0000 0.0000 3.7966 0.0000 0.0000 0.0000 6.3511" Properties=species:S:1:pos:R:3 pbc="T T T"
Al 0.0000 0.0000 0.0000
Te 0.0000 0.0000 3.1755
Au 1.8983 1.8983 3.1755
N 0.0000 1.8983 0.0000
N 1.8983 0.0000 0.0000
```


[2]
Material: ZnCu
Method: DFT, PBE-GGA
State: relaxed

Properties
Total moment = 0.000 μB per atom
Space group = I-43m (217)
Energy of formation from the pure elements = 0.50 eV per atom

Geometry as extended XYZ:
```
8
Lattice="-3.7336 3.7336 3.7336 3.7336 -3.7336 3.7336 3.7336 3.7336 -3.7336" Properties=species:S:1:pos:R:3 pbc="T T T"
Zn 1.5059 1.5059 -1.5059
Zn 1.5059 -1.5059 1.5059
Zn -1.5059 1.5059 1.5059
Zn 2.2277 2.2277 2.2277
Cu 2.8626 2.8626 -2.8626
Cu 2.8626 -2.8626 2.8626
Cu 0.8710 0.8710 0.8710
Cu -2.8626 2.8626 2.8626
```


[3]
Material: PaTaRe2
Method: DFT, PBE-GGA
State: relaxed

Properties
Total moment = 0.000 μB per atom
Space group = P4/mmm (123)
Energy of formation from the pure elements = -0.10 eV per atom

Geometry as extended XYZ:
```
4
Lattice="4.7491 0.0000 0.0000 0.0000 4.7491 0.0000 0.0000 0.0000 3.2788" Properties=species:S:1:pos:R:3 pbc="T T T"
Pa 0.0000 0.0000 0.0000
Ta 2.3746 2.3746 0.0000
Re 0.0000 2.3746 1.6394
Re 2.3746 0.0000 1.6394
```


[4]
Material: CuAs2Pb3O8
Method: DFT, PBE-GGA
State: relaxed

Properties
Total moment = 0.000 μB per atom
Raw formation energy = -0.99 eV/atom
Space group = P-3m1 (164)

Geometry as extended XYZ:
```
14
Lattice="5.7490 0.0000 0.0000 -2.8745 4.9788 0.0000 0.0000 0.0000 7.4582" Properties=species:S:1:pos:R:3 pbc="T T T"
Cu 0.0000 0.0000 0.0000
As 0.0000 3.3192 5.2431
As 2.8745 1.6596 2.2151
Pb 0.0000 0.0000 3.7291
Pb 0.0000 3.3192 1.2155
Pb 2.8745 1.6596 6.2426
O 0.0000 1.6729 5.8703
O -1.4257 4.1423 5.8703
O 0.0000 3.3192 3.5067
O 1.4488 0.8365 1.5879
O 1.4257 4.1423 5.8703
O 2.8745 1.6596 3.9515
O 4.3002 0.8365 1.5879
O 2.8745 3.3059 1.5879
```


[5]
Material: NiPb2
Method: DFT, PBE-GGA
State: relaxed

Properties
Total moment = 0.000 μB per atom
Space group = Pnnm (58)
Energy of formation from the pure elements = 0.10 eV per atom

Geometry as extended XYZ:
```
6
Lattice="6.2028 0.0000 0.0000 0.0000 6.4847 0.0000 0.0000 0.0000 3.6184" Properties=species:S:1:pos:R:3 pbc="T T T"
Ni 0.0000 0.0000 0.0000
Ni 3.1014 3.2423 1.8092
Pb 1.4169 2.2302 0.0000
Pb 1.6845 5.4725 1.8092
Pb 4.5183 1.0122 1.8092
Pb 4.7859 4.2545 0.0000
```


[6]
Material: FeRe2Au
Method: DFT, PBE-GGA
State: relaxed

Properties
Total moment = 0.545 μB per atom
Space group = Cmmm (65)
Energy of formation from the pure elements = 0.45 eV per atom

Geometry as extended XYZ:
```
4
Lattice="2.6870 -4.0651 0.0000 2.6870 4.0651 0.0000 0.0000 0.0000 2.7167" Properties=species:S:1:pos:R:3 pbc="T T T"
Fe 0.0000 0.0000 0.0000
Re 1.3435 2.0325 1.3583
Re 1.3435 -2.0325 1.3583
Au 2.6870 0.0000 0.0000
```


[7]
Material: KCaCo
Method: DFT, PBE-GGA
State: relaxed

Properties
Total moment = 0.533 μB per atom
Space group = F-43m (216)
Energy of formation from the pure elements = 0.88 eV per atom

Geometry as extended XYZ:
```
3
Lattice="0.0000 3.7555 3.7555 3.7555 0.0000 3.7555 3.7555 3.7555 0.0000" Properties=species:S:1:pos:R:3 pbc="T T T"
K 0.0000 0.0000 0.0000
Ca 3.7555 3.7555 3.7555
Co 5.6333 5.6333 5.6333
```


[8]
Material: Mg3AsN
Method: DFT, PBE-GGA
State: relaxed

Properties
Total moment = 0.000 μB per atom
Raw formation energy = -0.40 eV/atom
Space group = Pnma (62)

Geometry as extended XYZ:
```
20
Lattice="6.1527 0.0000 0.0000 0.0000 10.1247 0.0000 0.0000 0.0000 6.0905" Properties=species:S:1:pos:R:3 pbc="T T T"
Mg 0.8693 1.0287 0.8321
Mg 0.8693 4.0337 0.8321
Mg 1.2757 2.5312 4.1396
Mg 1.8007 7.5936 1.0944
Mg 2.2070 6.0910 3.8773
Mg 2.2070 9.0961 3.8773
Mg 3.9457 1.0287 2.2132
Mg 3.9457 4.0337 2.2132
Mg 4.3520 2.5312 4.9962
Mg 4.8770 7.5936 1.9509
Mg 5.2834 6.0910 5.2585
Mg 5.2834 9.0961 5.2585
As 0.0000 0.0000 3.0453
As 0.0000 5.0624 3.0453
As 3.0763 0.0000 0.0000
As 3.0763 5.0624 0.0000
N 0.0718 2.5312 5.8747
N 3.0046 7.5936 2.8294
N 3.1481 2.5312 3.2611
N 6.0809 7.5936 0.2158
```


[9]
Material: Ce3Pb2C
Method: DFT, PBE-GGA
State: relaxed

Properties
Total moment = 0.335 μB per atom
Space group = Cmcm (63)
Energy of formation from the pure elements = -0.26 eV per atom

Geometry as extended XYZ:
```
12
Lattice="5.5233 -4.5584 0.0000 5.5233 4.5584 0.0000 0.0000 0.0000 6.6028" Properties=species:S:1:pos:R:3 pbc="T T T"
Ce 5.5233 3.0993 4.9521
Ce 3.8407 0.0000 0.0000
Ce 3.8407 0.0000 3.3014
Ce 7.2059 0.0000 0.0000
Ce 7.2059 0.0000 3.3014
Ce 5.5233 -3.0993 1.6507
Pb 3.9822 2.9028 1.6507
Pb 7.0645 2.9028 1.6507
Pb 3.9822 -2.9028 4.9521
Pb 7.0645 -2.9028 4.9521
C 5.5233 0.7902 4.9521
C 5.5233 -0.7902 1.6507
```


[10]
Material: ThAl6Fe6
Method: DFT, PBE-GGA
State: relaxed

Properties
Total moment = 0.759 μB per atom
Space group = Immm (71)
Energy of formation from the pure elements = -0.35 eV per atom

Geometry as extended XYZ:
```
13
Lattice="-2.4941 4.3001 4.3672 2.4941 -4.3001 4.3672 2.4941 4.3001 -4.3672" Properties=species:S:1:pos:R:3 pbc="T T T"
Th 0.0000 0.0000 0.0000
Al 2.4941 0.0000 1.7908
Al 0.0000 2.9633 0.0000
Al 0.0000 0.0000 3.0624
Al 0.0000 0.0000 5.6720
Al 0.0000 5.6369 0.0000
Al 0.0000 4.3001 2.5764
Fe 1.2471 2.1500 -2.1836
Fe 1.2471 -2.1500 2.1836
Fe 2.4941 2.0423 0.0000
Fe -1.2471 2.1500 2.1836
Fe 1.2471 2.1500 2.1836
Fe 0.0000 2.2577 4.3672
```


[11]
Material: La3Pm2NpN6
Method: DFT, PBE-GGA
State: relaxed

Properties
Total moment = 0.135 μB per atom
Raw formation energy = -1.36 eV/atom
Space group = C2/m (12)

Geometry as extended XYZ:
```
12
Lattice="3.1266 -5.4028 0.0000 3.1266 5.4028 0.0000 -2.0789 0.0000 5.9680" Properties=species:S:1:pos:R:3 pbc="T T T"
La 0.0000 0.0000 0.0000
La 3.1266 1.8139 0.0000
La 3.1266 -1.8139 0.0000
Pm 2.0872 3.6066 2.9840
Pm 2.0872 -3.6066 2.9840
Np 2.0872 0.0000 2.9840
N 1.1578 1.6015 1.6890
N 0.2116 0.0000 4.3278
N 1.1578 -1.6015 1.6890
N 3.0166 1.6015 4.2790
N 3.9628 0.0000 1.6402
N 3.0166 -1.6015 4.2790
```


[12]
Material: KPbSe3
Method: DFT, PBE-GGA
State: relaxed

Properties
Total moment = 0.000 μB per atom
Raw formation energy = -0.17 eV/atom
Space group = Pm-3m (221)

Geometry as extended XYZ:
```
5
Lattice="5.5600 0.0000 0.0000 0.0000 5.5600 0.0000 0.0000 0.0000 5.5600" Properties=species:S:1:pos:R:3 pbc="T T T"
K 0.0000 0.0000 0.0000
Pb 2.7800 2.7800 2.7800
Se 0.0000 2.7800 2.7800
Se 2.7800 0.0000 2.7800
Se 2.7800 2.7800 0.0000
```


[13]
Material: KTa2Cd
Method: DFT, PBE-GGA
State: relaxed

Properties
Total moment = 0.000 μB per atom
Space group = I4/mmm (139)
Energy of formation from the pure elements = 1.29 eV per atom

Geometry as extended XYZ:
```
4
Lattice="-2.0417 2.0417 5.5303 2.0417 -2.0417 5.5303 2.0417 2.0417 -5.5303" Properties=species:S:1:pos:R:3 pbc="T T T"
K 0.0000 0.0000 0.0000
Ta 2.0417 0.0000 2.7651
Ta 0.0000 2.0417 2.7651
Cd 0.0000 0.0000 5.5303
```


[14]
Material: NiAg2P
Method: DFT, PBE-GGA
State: relaxed

Properties
Total moment = 0.000 μB per atom
Space group = Cm (8)
Energy of formation from the pure elements = 0.05 eV per atom

Geometry as extended XYZ:
```
4
Lattice="3.7580 -1.4917 0.0000 3.7580 1.4917 0.0000 -2.9072 0.0000 5.9452" Properties=species:S:1:pos:R:3 pbc="T T T"
Ni 0.0000 0.0000 0.0000
Ag 0.0870 0.0000 3.7678
Ag 2.3051 0.0000 1.9042
P 2.4000 0.0000 5.7413
```


[15]
Material: AcEr2Pt
Method: DFT, PBE-GGA
State: relaxed

Properties
Total moment = 0.000 μB per atom
Space group = R-3m (166)
Energy of formation from the pure elements = -0.57 eV per atom

Geometry as extended XYZ:
```
4
Lattice="2.0177 1.1649 9.3528 -2.0177 1.1649 9.3528 0.0000 -2.3299 9.3528" Properties=species:S:1:pos:R:3 pbc="T T T"
Ac 0.0000 0.0000 0.0000
Er 0.0000 0.0000 6.1913
Er 0.0000 0.0000 21.8669
Pt 0.0000 0.0000 14.0291
```


[16]
Material: LaFeAs2
Method: DFT, PBE-GGA
State: relaxed

Properties
Total moment = 0.140 μB per atom
Space group = Cmmm (65)
Energy of formation from the pure elements = -0.60 eV per atom

Geometry as extended XYZ:
```
4
Lattice="2.6460 -3.7779 0.0000 2.6460 3.7779 0.0000 0.0000 0.0000 3.9421" Properties=species:S:1:pos:R:3 pbc="T T T"
La 0.0000 0.0000 0.0000
Fe 2.6460 0.0000 0.0000
As 2.6460 1.3772 1.9711
As 2.6460 -1.3772 1.9711
```


[17]
Material: Pm2Sn6Ru
Method: DFT, PBE-GGA
State: relaxed

Properties
Total moment = 0.000 μB per atom
Space group = Cmmm (65)
Energy of formation from the pure elements = -0.29 eV per atom

Geometry as extended XYZ:
```
9
Lattice="3.5070 -8.6629 0.0000 3.5070 8.6629 0.0000 0.0000 0.0000 4.0097" Properties=species:S:1:pos:R:3 pbc="T T T"
Pm 3.5070 4.8524 0.0000
Pm 3.5070 -4.8524 0.0000
Sn 2.0754 2.3905 2.0048
Sn 1.6105 0.0000 0.0000
Sn 2.0754 -2.3905 2.0048
Sn 4.9385 2.3905 2.0048
Sn 5.4034 0.0000 0.0000
Sn 4.9385 -2.3905 2.0048
Ru 3.5070 0.0000 2.0048
```


[18]
Material: LaErCuSn
Method: DFT, PBE-GGA
State: relaxed

Properties
Total moment = 0.000 μB per atom
Space group = F-43m (216)
Energy of formation from the pure elements = -0.42 eV per atom

Geometry as extended XYZ:
```
4
Lattice="0.0000 3.7291 3.7291 3.7291 0.0000 3.7291 3.7291 3.7291 0.0000" Properties=species:S:1:pos:R:3 pbc="T T T"
La 0.0000 0.0000 0.0000
Er 3.7291 3.7291 3.7291
Cu 1.8645 1.8645 1.8645
Sn 5.5936 5.5936 5.5936
```


[19]
Material: PmZr2S6
Method: DFT, PBE-GGA
State: relaxed

Properties
Total moment = 0.000 μB per atom
Raw formation energy = -1.43 eV/atom
Space group = C2/m (12)

Geometry as extended XYZ:
```
9
Lattice="6.2948 -2.5719 0.0000 6.2948 2.5719 0.0000 -5.5572 0.0000 6.9244" Properties=species:S:1:pos:R:3 pbc="T T T"
Pm 0.0000 0.0000 0.0000
Zr -1.0769 0.0000 4.0317
Zr 8.1093 0.0000 2.8927
S -3.3309 0.0000 5.1122
S 1.2578 0.0000 2.7400
S -0.4308 0.0000 6.5100
S 7.4632 0.0000 0.4144
S 5.7746 0.0000 4.1844
S 10.3633 0.0000 1.8122
```


[20]
Material: Dy2FeAg
Method: DFT, PBE-GGA
State: relaxed

Properties
Total moment = 0.000 μB per atom
Space group = Fm-3m (225)
Energy of formation from the pure elements = -0.01 eV per atom

Geometry as extended XYZ:
```
4
Lattice="0.0000 3.4792 3.4792 3.4792 0.0000 3.4792 3.4792 3.4792 0.0000" Properties=species:S:1:pos:R:3 pbc="T T T"
Dy 1.7396 1.7396 1.7396
Dy 5.2188 5.2188 5.2188
Fe 0.0000 0.0000 0.0000
Ag 3.4792 3.4792 3.4792
```


[21]
Material: ErAg5
Method: DFT, PBE-GGA
State: relaxed

Properties
Total moment = 0.000 μB per atom
Space group = Cmmm (65)
Energy of formation from the pure elements = -0.10 eV per atom

Geometry as extended XYZ:
```
6
Lattice="2.2157 -6.4094 0.0000 2.2157 6.4094 0.0000 0.0000 0.0000 4.1440" Properties=species:S:1:pos:R:3 pbc="T T T"
Er 0.0000 0.0000 0.0000
Ag 2.2157 4.1943 2.0720
Ag 2.2157 2.1489 0.0000
Ag 2.2157 0.0000 2.0720
Ag 2.2157 -2.1489 0.0000
Ag 2.2157 -4.1943 2.0720
```


[22]
Material: Ti7CoPt2
Method: DFT, PBE-GGA
State: relaxed

Properties
Total moment = 0.000 μB per atom
Space group = Fm-3m (225)
Energy of formation from the pure elements = 0.41 eV per atom

Geometry as extended XYZ:
```
10
Lattice="0.0000 4.4419 4.4419 4.4419 0.0000 4.4419 4.4419 4.4419 0.0000" Properties=species:S:1:pos:R:3 pbc="T T T"
Ti 0.0000 0.0000 0.0000
Ti 4.4419 4.4419 2.2562
Ti 4.4419 2.2562 4.4419
Ti 6.6275 4.4419 4.4419
Ti 2.2562 4.4419 4.4419
Ti 4.4419 6.6275 4.4419
Ti 4.4419 4.4419 6.6275
Co 4.4419 4.4419 4.4419
Pt 2.2209 2.2209 2.2209
Pt 6.6628 6.6628 6.6628
```


[23]
Material: CaZnOF2
Method: DFT, PBE-GGA
State: relaxed

Properties
Total moment = 0.007 μB per atom
Raw formation energy = -1.85 eV/atom
Space group = P4/mmm (123)

Geometry as extended XYZ:
```
5
Lattice="4.2239 0.0000 0.0000 0.0000 4.2239 0.0000 0.0000 0.0000 4.6460" Properties=species:S:1:pos:R:3 pbc="T T T"
Ca 0.0000 0.0000 0.0000
Zn 2.1119 2.1119 2.3230
O 0.0000 0.0000 2.3230
F 0.0000 2.1119 0.0000
F 2.1119 0.0000 0.0000
```


[24]
Material: Li2PdC
Method: DFT, PBE-GGA
State: relaxed

Properties
Total moment = 0.000 μB per atom
Space group = I-42d (122)
Energy of formation from the pure elements = 0.25 eV per atom

Geometry as extended XYZ:
```
8
Lattice="-4.2769 4.2769 1.9294 4.2769 -4.2769 1.9294 4.2769 4.2769 -1.9294" Properties=species:S:1:pos:R:3 pbc="T T T"
Li 0.3462 2.1384 0.4823
Li -2.1384 3.9306 1.4470
Li -0.3462 6.4153 0.4823
Li 2.1384 4.6231 1.4470
Pd 4.2769 0.0000 0.9647
Pd 0.0000 0.0000 1.9294
C 0.0000 0.0000 0.0000
C 0.0000 4.2769 0.9647
```